Record 1
4
Lattice="1.537 0.888 10.645 -1.537 0.888 10.645 0.000 -1.775 10.645" Properties=species:S:1:pos:R:3 comment="PuZr2Cu (PBE-GGA, relaxed)" e_above_lowest_polymorph_mev_per_atom=354 e_form_mev_per_atom=355 magmom_total_mub_per_cell=5.590 sg=R-3m pbc="T T T"
Pu 0.000 0.000 0.000
Zr 0.000 0.000 3.116
Zr 0.000 0.000 28.820
Cu 0.000 0.000 15.968

***

Record 2
5
Lattice="6.327 0.000 0.000 0.000 6.327 0.000 0.000 0.000 6.327" Properties=species:S:1:pos:R:3 comment="KAcHg3 (PBE-GGA, relaxed)" e_form_mev_per_atom=44 magmom_total_mub_per_cell=0.000 sg=Pm-3m pbc="T T T"
K 0.000 0.000 0.000
Ac 3.163 3.163 3.163
Hg 0.000 3.163 3.163
Hg 3.163 0.000 3.163
Hg 3.163 3.163 0.000